La2MnRe after structural relaxation. Source: Alexandria via LeMat-Bulk, functional PBE.

Calculated values
* space group: No. 122
* ρ: 8.3 g/cm³
* energy of formation: 716.6 meV per atom
* polymorph energy (0 for the lowest one): 0.5915 eV/atom
* total magnetization: 4.06 μB/f.u.

Cell and atoms, written as POSCAR:
```
La2MnRe
1.0
-2.077 -4.263 6.813
0.508 -7.093 -4.283
2.110 -5.914 2.000
Mn La Re
2 4 2
Cartesian
-0.784 -5.678 1.265 Mn
0.917 -9.342 -0.509 Mn
0.236 -14.738 3.493 La
-0.814 -5.250 4.574 La
0.968 -8.328 2.670 La
0.693 -6.224 -1.677 La
0.000 0.000 0.000 Re
-0.376 -7.928 5.039 Re
```

La2MnRe after structural relaxation. Source: Alexandria via LeMat-Bulk, functional PBE.

Calculated values
* space group: No. 160
* ρ: 7.8 g/cm³
* energy of formation: 125.2 meV per atom
* polymorph energy (0 for the lowest one): 0.0000 eV/atom
* total magnetization: 0.50 μB/f.u.

Cell and atoms, written as POSCAR:
```
La2MnRe
1.0
-4.517 6.820 -0.941
-6.615 4.606 1.683
-3.517 6.834 2.956
Re Mn La
1 1 2
Cartesian
-11.457 14.280 2.892 Re
-6.874 8.568 1.735 Mn
-0.507 0.632 0.128 La
-3.135 3.908 0.791 La
```

LaMnRe2 after structural relaxation. Source: Alexandria via LeMat-Bulk, functional PBE.

Calculated values
* space group: No. 99
* ρ: 12.4 g/cm³
* energy of formation: 264.1 meV per atom
* polymorph energy (0 for the lowest one): 0.0132 eV/atom
* total magnetization: 3.80 μB/f.u.

Cell and atoms, written as POSCAR:
```
LaMnRe2
1.0
-1.107 1.152 -2.672
-1.360 -2.732 -0.614
-6.480 2.390 3.715
Mn La Re
1 1 2
Cartesian
-6.479 1.145 1.364 Mn
-3.172 1.170 1.819 La
-2.469 -0.334 -0.935 Re
-0.067 0.025 0.039 Re
```

LaMn2Re after structural relaxation. Source: Alexandria via LeMat-Bulk, functional PBE.

Calculated values
* space group: No. 216
* ρ: 10.5 g/cm³
* energy of formation: 664.7 meV per atom
* polymorph energy (0 for the lowest one): 0.4330 eV/atom
* total magnetization: 4.82 μB/f.u.

Cell and atoms, written as POSCAR:
```
LaMn2Re
1.0
-3.984 2.261 -0.405
-3.929 -2.016 1.283
-2.210 1.456 3.761
Mn La Re
2 1 1
Cartesian
0.000 0.000 0.000 Mn
-7.591 1.276 3.480 Mn
-5.061 0.851 2.320 La
-2.530 0.425 1.160 Re
```

LaMn2Re after structural relaxation. Source: Alexandria via LeMat-Bulk, functional PBE.

Calculated values
* space group: No. 166
* ρ: 9.2 g/cm³
* energy of formation: 231.7 meV per atom
* polymorph energy (0 for the lowest one): 0.0000 eV/atom
* total magnetization: 0.53 μB/f.u.

Cell and atoms, written as POSCAR:
```
LaMn2Re
1.0
4.123 -0.060 0.017
2.114 3.540 0.017
2.053 1.146 5.355
Mn Re La
2 1 1
Cartesian
4.141 2.311 3.603 Mn
2.058 1.148 4.448 Mn
6.218 3.470 4.042 Re
2.073 1.157 1.347 La
```

LaMn2Re after structural relaxation. Source: Alexandria via LeMat-Bulk, functional PBE.

Calculated values
* space group: No. 160
* ρ: 10.1 g/cm³
* energy of formation: 657.7 meV per atom
* polymorph energy (0 for the lowest one): 0.4260 eV/atom
* total magnetization: 1.07 μB/f.u.

Cell and atoms, written as POSCAR:
```
LaMn2Re
1.0
-7.445 -5.753 1.407
-5.692 -7.623 -0.090
-5.373 -7.318 2.845
La Mn Re
1 2 1
Cartesian
-13.911 -15.553 3.128 La
-4.612 -5.157 1.037 Mn
-18.199 -20.348 4.093 Mn
-9.551 -10.678 2.148 Re
```

LaMnRe2 after structural relaxation. Source: Alexandria via LeMat-Bulk, functional PBE.

Calculated values
* space group: No. 141
* ρ: 9.7 g/cm³
* energy of formation: 799.7 meV per atom
* polymorph energy (0 for the lowest one): 0.5487 eV/atom
* total magnetization: 1.14 μB/f.u.

Cell and atoms, written as POSCAR:
```
LaMnRe2
1.0
4.886 0.000 0.000
0.000 4.886 0.000
2.443 2.443 8.082
Mn Re La
2 4 2
Cartesian
2.443 2.443 0.000 Mn
2.443 4.886 4.041 Mn
3.664 4.887 6.061 Re
6.107 4.885 6.061 Re
2.442 1.221 2.020 Re
2.444 3.664 2.020 Re
0.000 0.000 0.000 La
4.886 2.443 4.041 La
```

La2MnRe after structural relaxation. Source: Alexandria via LeMat-Bulk, functional PBE.

Calculated values
* space group: No. 216
* ρ: 9.8 g/cm³
* energy of formation: 542.6 meV per atom
* polymorph energy (0 for the lowest one): 0.4174 eV/atom
* total magnetization: 4.01 μB/f.u.

Cell and atoms, written as POSCAR:
```
La2MnRe
1.0
-0.564 4.127 2.742
-4.235 0.758 2.522
-0.025 -0.298 4.978
Re La Mn
1 2 1
Cartesian
-1.206 1.147 2.561 Re
0.000 0.000 0.000 La
-3.618 3.440 7.682 La
-2.412 2.293 5.121 Mn
```

LaMnRe2 after structural relaxation. Source: Alexandria via LeMat-Bulk, functional PBE.

Calculated values
* space group: No. 123
* ρ: 13.1 g/cm³
* energy of formation: 868.0 meV per atom
* polymorph energy (0 for the lowest one): 0.6170 eV/atom
* total magnetization: 2.37 μB/f.u.

Cell and atoms, written as POSCAR:
```
LaMnRe2
1.0
4.605 0.000 0.000
0.000 4.605 0.000
0.000 0.000 3.390
La Re Mn
1 2 1
Cartesian
2.302 0.000 1.695 La
2.302 2.302 0.000 Re
0.000 0.000 0.000 Re
0.000 2.302 1.695 Mn
```

LaMn2Re after structural relaxation. Source: Alexandria via LeMat-Bulk, functional PBE.

Calculated values
* space group: No. 6
* ρ: 10.1 g/cm³
* energy of formation: 365.5 meV per atom
* polymorph energy (0 for the lowest one): 0.1338 eV/atom
* total magnetization: 2.01 μB/f.u.

Cell and atoms, written as POSCAR:
```
LaMn2Re
1.0
3.069 0.000 0.000
0.000 3.077 0.007
0.000 3.058 7.603
Mn La Re
2 1 1
Cartesian
0.000 3.072 0.563 Mn
1.535 1.538 1.945 Mn
1.535 4.603 5.645 La
0.000 3.067 3.270 Re
```

La2MnRe after structural relaxation. Source: Alexandria via LeMat-Bulk, functional PBE.

Calculated values
* space group: No. 166
* ρ: 8.9 g/cm³
* energy of formation: 686.9 meV per atom
* polymorph energy (0 for the lowest one): 0.5618 eV/atom
* total magnetization: 3.37 μB/f.u.

Cell and atoms, written as POSCAR:
```
La2MnRe
1.0
-8.696 -3.297 -2.363
-7.184 -6.224 -1.315
-8.620 -4.095 1.000
Re La Mn
1 2 1
Cartesian
-18.374 -10.212 -2.008 Re
-0.111 -0.062 -0.012 La
-12.139 -6.746 -1.327 La
-6.125 -3.404 -0.669 Mn
```

LaMn2Re after structural relaxation. Source: Alexandria via LeMat-Bulk, functional PBE.

Calculated values
* space group: No. 71
* ρ: 9.3 g/cm³
* energy of formation: 618.1 meV per atom
* polymorph energy (0 for the lowest one): 0.3865 eV/atom
* total magnetization: 6.46 μB/f.u.

Cell and atoms, written as POSCAR:
```
LaMn2Re
1.0
-2.074 -2.479 4.547
3.683 -2.966 2.960
-1.322 5.057 -1.949
La Mn Re
1 2 1
Cartesian
1.583 -0.315 2.382 La
1.550 -5.244 7.229 Mn
0.864 -2.923 4.031 Mn
-1.296 -0.072 3.176 Re
```

La2MnRe after structural relaxation. Source: Alexandria via LeMat-Bulk, functional PBE.

Calculated values
* space group: No. 123
* ρ: 9.0 g/cm³
* energy of formation: 486.0 meV per atom
* polymorph energy (0 for the lowest one): 0.3609 eV/atom
* total magnetization: 4.04 μB/f.u.

Cell and atoms, written as POSCAR:
```
La2MnRe
1.0
-2.447 2.326 -3.846
2.385 -3.036 -3.354
-2.728 -2.435 0.264
La Re Mn
2 1 1
Cartesian
-0.031 -0.355 -3.600 La
0.000 0.000 0.000 La
-0.172 -2.735 -1.545 Re
-2.588 -0.055 -1.791 Mn
```

LaMn2Re after structural relaxation. Source: Alexandria via LeMat-Bulk, functional PBE.

Calculated values
* space group: No. 123
* ρ: 10.8 g/cm³
* energy of formation: 601.0 meV per atom
* polymorph energy (0 for the lowest one): 0.3694 eV/atom
* total magnetization: 4.19 μB/f.u.

Cell and atoms, written as POSCAR:
```
LaMn2Re
1.0
-1.919 -0.221 2.257
-0.485 -4.637 -0.865
3.587 -0.927 2.959
La Re Mn
1 1 2
Cartesian
0.834 -0.574 2.608 La
-1.202 -2.429 0.696 Re
0.000 0.000 0.000 Mn
1.551 -2.782 1.047 Mn
```

LaMnRe2 after structural relaxation. Source: Alexandria via LeMat-Bulk, functional PBE.

Calculated values
* space group: No. 166
* ρ: 13.6 g/cm³
* energy of formation: 629.4 meV per atom
* polymorph energy (0 for the lowest one): 0.3784 eV/atom
* total magnetization: 1.40 μB/f.u.

Cell and atoms, written as POSCAR:
```
LaMnRe2
1.0
9.792 -0.035 -0.021
9.381 2.807 -0.021
9.381 1.356 2.457
La Mn Re
1 1 2
Cartesian
7.139 1.032 0.604 La
21.416 3.095 1.812 Mn
0.439 0.063 0.037 Re
13.838 2.000 1.171 Re
```